Entry from Alexandria: a relaxed structure of MgHgGe2Br (PBE).

CIF file:
```
data_MgHgGe2Br
_chemical_formula_sum 'Mg1 Hg1 Ge2 Br1'
_space_group_name_H-M_alt 'P 4/m m m'
_space_group_IT_number 123
_space_group_name_Hall '-P 4 2'
_cell_length_a 5.1928
_cell_length_b 5.1928
_cell_length_c 6.0205
_cell_angle_alpha 90.00
_cell_angle_beta 90.00
_cell_angle_gamma 90.00
loop_
_atom_site_label
_atom_site_fract_x
_atom_site_fract_y
_atom_site_fract_z
_atom_site_occupancy
Mg1 0.0000 0.0000 0.0000 1
Hg1 0.5000 0.5000 0.0000 1
Ge1 0.0000 0.5000 0.5000 1
Br1 0.5000 0.5000 0.5000 1
```

Values from the calculation:
For the formation energy without anion corrections, the calculation gives 3.5 eV/f.u.